1.
A relaxed Sc2Zn2H crystal. Source: the Alexandria database, functional PBE.

Calculated values
Electronic total energy in eV per atom: -3.87

a = 6.0645 Å, b = 6.0645 Å, c = 4.7075 Å
α = 90.00°, β = 90.00°, γ = 90.00°
Last column: nearest neighbours and their distance in Å.
Element x y z (fractional)
Sc: 0.6707 0.1707 0.0000  2 H 2.25
Sc: 0.8293 0.6707 0.0000  2 H 2.25
Sc: 0.3293 0.8293 0.0000  2 H 2.25
Sc: 0.1707 0.3293 0.0000  2 H 2.25
H: 0.0000 0.0000 0.0000  4 Sc 2.25
H: 0.5000 0.5000 0.0000  4 Sc 2.25
Zn: 0.1440 0.6440 0.5000  1 Zn 2.47
Zn: 0.6440 0.8560 0.5000  1 Zn 2.47
Zn: 0.3560 0.1440 0.5000  1 Zn 2.47
Zn: 0.8560 0.3560 0.5000  1 Zn 2.47



2.
A relaxed ScZnH crystal. Source: the Alexandria database, functional PBE.

Calculated values
Energy relative to the lowest polymorph listed for this composition in meV per atom: 108
Electronic total energy in eV per atom: -4.02

a = 3.2951 Å, b = 3.2951 Å, c = 9.3005 Å
α = 79.80°, β = 79.80°, γ = 60.00°
Last column: nearest neighbours and their distance in Å.
Element x y z (fractional)
Sc: 0.7160 0.7160 0.8521  4 H 2.02-2.03
Sc: 0.2840 0.2840 0.1479  4 H 2.02-2.03
H: 0.3583 0.3583 0.9251  4 Sc 2.02-2.03
H: 0.6417 0.6417 0.0749  4 Sc 2.02-2.03
Zn: 0.8695 0.8695 0.3915  3 Zn 2.74, 3 Sc 2.92
Zn: 0.1305 0.1305 0.6085  3 Zn 2.74, 3 Sc 2.92



3.
A relaxed Sc12Zn3H5 crystal. Source: the Alexandria database, functional PBE.

Calculated values
Electronic total energy in eV per atom: -5.06

a = 12.2083 Å, b = 12.2083 Å, c = 12.2083 Å
α = 109.47°, β = 109.47°, γ = 109.47°
Last column: nearest neighbours and their distance in Å.
Element x y z (fractional)
H: 0.7500 0.1250 0.8750  4 Sc 1.99
H: 0.3750 0.2500 0.1250  4 Sc 1.99
H: 0.0000 0.5000 0.0000  6 Sc 2.34
H: 0.6250 0.8750 0.2500  4 Sc 1.99
H: 0.5000 0.0000 0.0000  6 Sc 2.34
H: 0.2500 0.3750 0.6250  4 Sc 1.99
H: 0.2500 0.8750 0.1250  4 Sc 1.99
H: 0.1250 0.7500 0.3750  4 Sc 1.99
H: 0.3750 0.1250 0.7500  4 Sc 1.99
H: 0.5000 0.5000 0.0000  6 Sc 2.34
H: 0.8750 0.2500 0.6250  4 Sc 1.99
H: 0.8750 0.6250 0.7500  4 Sc 1.99
H: 0.1250 0.3750 0.2500  4 Sc 1.99
H: 0.7500 0.6250 0.3750  4 Sc 1.99
H: 0.0000 0.0000 0.0000  6 Sc 2.34
H: 0.5000 0.5000 0.5000  6 Sc 2.34
H: 0.5000 0.0000 0.5000  6 Sc 2.34
H: 0.0000 0.0000 0.5000  6 Sc 2.34
H: 0.6250 0.7500 0.8750  4 Sc 1.99
H: 0.0000 0.5000 0.5000  6 Sc 2.34
Sc: 0.3898 0.9852 0.7931  1 H 1.99
Sc: 0.0967 0.9046 0.3898  1 H 1.99
Sc: 0.2931 0.4033 0.8079  1 H 1.99
Sc: 0.9852 0.5954 0.1921  1 H 1.99
Sc: 0.1921 0.0954 0.9852  1 H 1.99
Sc: 0.3079 0.7931 0.4033  1 H 1.99
Sc: 0.9046 0.0967 0.8898  1 H 1.99
Sc: 0.4046 0.3898 0.5967  1 H 1.99
Sc: 0.5954 0.6102 0.4033  1 H 1.99
Sc: 0.5148 0.3079 0.9046  1 H 1.99
Sc: 0.0954 0.1921 0.4852  1 H 1.99
Sc: 0.4852 0.7931 0.8898  1 H 1.99
Sc: 0.9852 0.3898 0.2931  1 H 1.99
Sc: 0.5954 0.9852 0.6921  1 H 1.99
Sc: 0.8079 0.9033 0.2931  1 H 1.99
Sc: 0.4852 0.6921 0.0954  1 H 1.99
Sc: 0.0954 0.9033 0.1102  1 H 1.99
Sc: 0.4033 0.1102 0.5954  1 H 1.99
Sc: 0.8898 0.2931 0.4852  1 H 1.99
Sc: 0.3079 0.5148 0.4046  1 H 1.99
Sc: 0.6921 0.4852 0.5954  1 H 1.99
Sc: 0.2069 0.6921 0.0967  1 H 1.99
Sc: 0.7931 0.4852 0.3898  1 H 1.99
Sc: 0.6102 0.0148 0.2069  1 H 1.99
Sc: 0.6102 0.5954 0.9033  1 H 1.99
Sc: 0.7069 0.5967 0.1921  1 H 1.99
Sc: 0.9033 0.8079 0.7931  1 H 1.99
Sc: 0.6921 0.2069 0.5967  1 H 1.99
Sc: 0.5967 0.7069 0.6921  1 H 1.99
Sc: 0.0148 0.4046 0.8079  1 H 1.99
Sc: 0.4033 0.2931 0.3079  1 H 1.99
Sc: 0.1921 0.0967 0.7069  1 H 1.99
Sc: 0.3898 0.4046 0.0967  1 H 1.99
Sc: 0.2931 0.8898 0.9852  1 H 1.99
Sc: 0.5148 0.2069 0.1102  1 H 1.99
Sc: 0.8079 0.9046 0.0148  1 H 1.99
Sc: 0.1102 0.7069 0.5148  1 H 1.99
Sc: 0.5967 0.8898 0.4046  1 H 1.99
Sc: 0.2069 0.5148 0.6102  1 H 1.99
Sc: 0.4046 0.0148 0.3079  1 H 1.99
Sc: 0.7069 0.1102 0.0148  1 H 1.99
Sc: 0.1102 0.4033 0.0954  1 H 1.99
Sc: 0.0148 0.6102 0.7069  1 H 1.99
Sc: 0.9033 0.0954 0.6102  1 H 1.99
Sc: 0.8898 0.5967 0.9046  1 H 1.99
Sc: 0.0967 0.1921 0.2069  1 H 1.99
Sc: 0.7931 0.3079 0.9033  1 H 1.99
Sc: 0.9046 0.8079 0.5148  1 H 1.99
Zn: 0.7500 0.8750 0.6250  8 Sc 2.82-2.83
Zn: 0.8750 0.7500 0.1250  8 Sc 2.82-2.83
Zn: 0.7500 0.3750 0.1250  8 Sc 2.82-2.83
Zn: 0.6250 0.2500 0.3750  8 Sc 2.82-2.83
Zn: 0.1250 0.2500 0.8750  8 Sc 2.82-2.83
Zn: 0.6250 0.3750 0.7500  8 Sc 2.82-2.83
Zn: 0.3750 0.6250 0.2500  8 Sc 2.82-2.83
Zn: 0.2500 0.1250 0.3750  8 Sc 2.82-2.83
Zn: 0.8750 0.1250 0.2500  8 Sc 2.82-2.83
Zn: 0.1250 0.8750 0.7500  8 Sc 2.82-2.83
Zn: 0.2500 0.6250 0.8750  8 Sc 2.82-2.83
Zn: 0.3750 0.7500 0.6250  8 Sc 2.82-2.83



4.
A relaxed Sc2ZnH crystal. Source: the Alexandria database, functional PBE.

Calculated values
Energy relative to the lowest polymorph listed for this composition in meV per atom: 284
Electronic total energy in eV per atom: -4.31

a = 8.3427 Å, b = 8.3427 Å, c = 8.3427 Å
α = 22.09°, β = 22.09°, γ = 22.09°
Last column: nearest neighbours and their distance in Å.
Element x y z (fractional)
Sc: 0.1168 0.1168 0.1168  3 H 2.21
Sc: 0.8832 0.8832 0.8832  3 H 2.21
Zn: 0.0000 0.0000 0.0000  2 Sc 2.85
H: 0.5000 0.5000 0.5000  6 Sc 2.21